# CrGaPb3 | the Alexandria database | PBE | optimized geometry
data_CrGaPb3
_cell_length_a 5.249
_cell_length_b 5.249
_cell_length_c 5.249
_cell_angle_alpha 90.00
_cell_angle_beta 90.00
_cell_angle_gamma 90.00
_space_group_name_H-M_alt 'P 1'
_space_group_IT_number 1
_space_group_name_Hall 'P 1'
loop_
_atom_site_label
_atom_site_type_symbol
_atom_site_fract_x
_atom_site_fract_y
_atom_site_fract_z
_atom_site_occupancy
Pb1 Pb 0.000 0.500 0.000 1
Pb2 Pb 0.000 0.000 0.500 1
Pb3 Pb 0.500 0.000 0.000 1
Cr1 Cr 0.000 0.000 0.000 1
Ga1 Ga 0.500 0.500 0.500 1
# V = 28.9 Å³ per atom
# D(E_F) = 2.97 states/eV/f.u.
# E above lowest polymorph = 0.000 eV/atom
# SG = No. 221
# E_form = 2.210 eV/f.u.

# CrGa2Pb2 | the Alexandria database | PBE | optimized geometry
data_CrGa2Pb2
_cell_length_a 7.354
_cell_length_b 7.354
_cell_length_c 4.436
_cell_angle_alpha 90.00
_cell_angle_beta 90.00
_cell_angle_gamma 90.00
_space_group_name_H-M_alt 'P 1'
_space_group_IT_number 1
_space_group_name_Hall 'P 1'
loop_
_atom_site_label
_atom_site_type_symbol
_atom_site_fract_x
_atom_site_fract_y
_atom_site_fract_z
_atom_site_occupancy
Pb1 Pb 0.330 0.830 0.000 1
Pb2 Pb 0.830 0.670 0.000 1
Pb3 Pb 0.670 0.170 0.000 1
Pb4 Pb 0.170 0.330 0.000 1
Cr1 Cr 0.000 0.000 0.000 1
Cr2 Cr 0.500 0.500 0.000 1
Ga1 Ga 0.139 0.639 0.500 1
Ga2 Ga 0.639 0.861 0.500 1
Ga3 Ga 0.861 0.361 0.500 1
Ga4 Ga 0.361 0.139 0.500 1
# V = 24.0 Å³ per atom
# D(E_F) = 5.67 states/eV/f.u.
# E above lowest polymorph = 0.151 eV/atom
# SG = No. 127
# E_form = 3.745 eV/f.u.

# Y2CrGaPb | the Alexandria database | PBE | optimized geometry
data_Y2CrGaPb
_cell_length_a 5.147
_cell_length_b 4.827
_cell_length_c 5.147
_cell_angle_alpha 90.00
_cell_angle_beta 90.00
_cell_angle_gamma 90.00
_space_group_name_H-M_alt 'P 1'
_space_group_IT_number 1
_space_group_name_Hall 'P 1'
loop_
_atom_site_label
_atom_site_type_symbol
_atom_site_fract_x
_atom_site_fract_y
_atom_site_fract_z
_atom_site_occupancy
Pb1 Pb 0.500 0.500 0.500 1
Y1 Y 0.000 0.000 0.500 1
Y2 Y 0.500 0.000 0.000 1
Ga1 Ga 0.000 0.500 0.000 1
Cr1 Cr 0.000 0.000 0.000 1
# V = 25.6 Å³ per atom
# D(E_F) = 4.54 states/eV/f.u.
# SG = No. 123
# E_form = 0.974 eV/f.u.

# Cr2GaPd8 | the Alexandria database | PBE | optimized geometry
data_Cr2GaPd8
_cell_length_a 3.816
_cell_length_b 6.101
_cell_length_c 7.351
_cell_angle_alpha 102.83
_cell_angle_beta 105.05
_cell_angle_gamma 90.00
_space_group_name_H-M_alt 'P 1'
_space_group_IT_number 1
_space_group_name_Hall 'P 1'
loop_
_atom_site_label
_atom_site_type_symbol
_atom_site_fract_x
_atom_site_fract_y
_atom_site_fract_z
_atom_site_occupancy
Cr1 Cr 0.767 0.385 0.534 1
Cr2 Cr 0.233 0.615 0.466 1
Ga1 Ga 0.500 0.000 0.000 1
Pd1 Pd 0.403 0.535 0.807 1
Pd2 Pd 0.683 0.914 0.365 1
Pd3 Pd 0.856 0.802 0.711 1
Pd4 Pd 0.956 0.259 0.912 1
Pd5 Pd 0.144 0.198 0.289 1
Pd6 Pd 0.317 0.086 0.635 1
Pd7 Pd 0.597 0.465 0.193 1
Pd8 Pd 0.044 0.741 0.088 1
# V = 14.6 Å³ per atom
# D(E_F) = 11.60 states/eV/f.u.
# E above lowest polymorph = 0.006 eV/atom
# SG = No. 12
# E_form = -1.320 eV/f.u.

# Cr2Ga2Pd | the Alexandria database | PBE | optimized geometry
data_Cr2Ga2Pd
_cell_length_a 6.977
_cell_length_b 6.977
_cell_length_c 2.936
_cell_angle_alpha 90.00
_cell_angle_beta 90.00
_cell_angle_gamma 90.00
_space_group_name_H-M_alt 'P 1'
_space_group_IT_number 1
_space_group_name_Hall 'P 1'
loop_
_atom_site_label
_atom_site_type_symbol
_atom_site_fract_x
_atom_site_fract_y
_atom_site_fract_z
_atom_site_occupancy
Cr1 Cr 0.400 0.900 0.000 1
Cr2 Cr 0.900 0.600 0.000 1
Cr3 Cr 0.600 0.100 0.000 1
Cr4 Cr 0.100 0.400 0.000 1
Ga1 Ga 0.195 0.695 0.500 1
Ga2 Ga 0.695 0.805 0.500 1
Ga3 Ga 0.805 0.305 0.500 1
Ga4 Ga 0.305 0.195 0.500 1
Pd1 Pd 0.000 0.000 0.000 1
Pd2 Pd 0.500 0.500 0.000 1
# V = 14.3 Å³ per atom
# D(E_F) = 4.14 states/eV/f.u.
# E above lowest polymorph = 0.000 eV/atom
# SG = No. 127
# E_form = 0.318 eV/f.u.

# Cr2GaPd8 | the Alexandria database | PBE | optimized geometry
data_Cr2GaPd8
_cell_length_a 4.202
_cell_length_b 7.131
_cell_length_c 7.011
_cell_angle_alpha 120.57
_cell_angle_beta 107.44
_cell_angle_gamma 90.00
_space_group_name_H-M_alt 'P 1'
_space_group_IT_number 1
_space_group_name_Hall 'P 1'
loop_
_atom_site_label
_atom_site_type_symbol
_atom_site_fract_x
_atom_site_fract_y
_atom_site_fract_z
_atom_site_occupancy
Cr1 Cr 0.199 0.699 0.398 1
Cr2 Cr 0.801 0.301 0.602 1
Ga1 Ga 0.500 0.000 0.000 1
Pd1 Pd 0.655 0.872 0.311 1
Pd2 Pd 0.345 0.561 0.689 1
Pd3 Pd 0.140 0.140 0.280 1
Pd4 Pd 0.000 0.315 0.000 1
Pd5 Pd 0.860 0.860 0.720 1
Pd6 Pd 0.655 0.439 0.311 1
Pd7 Pd 0.345 0.128 0.689 1
Pd8 Pd 0.000 0.685 0.000 1
# V = 15.4 Å³ per atom
# D(E_F) = 11.29 states/eV/f.u.
# E above lowest polymorph = 0.000 eV/atom
# SG = No. 71
# E_form = -1.388 eV/f.u.

# Cr2Ga2Pd | the Alexandria database | PBE | optimized geometry
data_Cr2Ga2Pd
_cell_length_a 6.531
_cell_length_b 6.531
_cell_length_c 3.276
_cell_angle_alpha 90.00
_cell_angle_beta 90.00
_cell_angle_gamma 90.00
_space_group_name_H-M_alt 'P 1'
_space_group_IT_number 1
_space_group_name_Hall 'P 1'
loop_
_atom_site_label
_atom_site_type_symbol
_atom_site_fract_x
_atom_site_fract_y
_atom_site_fract_z
_atom_site_occupancy
Cr1 Cr 0.167 0.667 0.500 1
Cr2 Cr 0.667 0.833 0.500 1
Cr3 Cr 0.833 0.333 0.500 1
Cr4 Cr 0.333 0.167 0.500 1
Ga1 Ga 0.366 0.866 0.000 1
Ga2 Ga 0.866 0.634 0.000 1
Ga3 Ga 0.634 0.134 0.000 1
Ga4 Ga 0.134 0.366 0.000 1
Pd1 Pd 0.000 0.000 0.000 1
Pd2 Pd 0.500 0.500 0.000 1
# V = 14.0 Å³ per atom
# D(E_F) = 5.15 states/eV/f.u.
# E above lowest polymorph = 0.095 eV/atom
# SG = No. 127
# E_form = 0.793 eV/f.u.

# Cr3GaPd | the Alexandria database | PBE | optimized geometry
data_Cr3GaPd
_cell_length_a 4.849
_cell_length_b 4.849
_cell_length_c 4.849
_cell_angle_alpha 90.00
_cell_angle_beta 90.00
_cell_angle_gamma 90.00
_space_group_name_H-M_alt 'P 1'
_space_group_IT_number 1
_space_group_name_Hall 'P 1'
loop_
_atom_site_label
_atom_site_type_symbol
_atom_site_fract_x
_atom_site_fract_y
_atom_site_fract_z
_atom_site_occupancy
Cr1 Cr 0.000 0.500 0.000 1
Cr2 Cr 0.000 0.000 0.500 1
Cr3 Cr 0.500 0.000 0.000 1
Ga1 Ga 0.500 0.500 0.500 1
Pd1 Pd 0.000 0.000 0.000 1
# V = 22.8 Å³ per atom
# D(E_F) = 5.37 states/eV/f.u.
# E above lowest polymorph = 0.000 eV/atom
# SG = No. 221
# E_form = 6.170 eV/f.u.

# CrGa3Pd12 | the Alexandria database | PBE | optimized geometry
data_CrGa3Pd12
_cell_length_a 3.920
_cell_length_b 3.920
_cell_length_c 15.656
_cell_angle_alpha 90.00
_cell_angle_beta 90.00
_cell_angle_gamma 90.00
_space_group_name_H-M_alt 'P 1'
_space_group_IT_number 1
_space_group_name_Hall 'P 1'
loop_
_atom_site_label
_atom_site_type_symbol
_atom_site_fract_x
_atom_site_fract_y
_atom_site_fract_z
_atom_site_occupancy
Cr1 Cr 0.000 0.000 0.000 1
Ga1 Ga 0.000 0.000 0.252 1
Ga2 Ga 0.000 0.000 0.500 1
Ga3 Ga 0.000 0.000 0.748 1
Pd1 Pd 0.500 0.500 0.000 1
Pd2 Pd 0.500 0.500 0.249 1
Pd3 Pd 0.500 0.500 0.500 1
Pd4 Pd 0.500 0.500 0.751 1
Pd5 Pd 0.500 0.000 0.124 1
Pd6 Pd 0.500 0.000 0.374 1
Pd7 Pd 0.500 0.000 0.626 1
Pd8 Pd 0.500 0.000 0.876 1
Pd9 Pd 0.000 0.500 0.124 1
Pd10 Pd 0.000 0.500 0.374 1
Pd11 Pd 0.000 0.500 0.626 1
Pd12 Pd 0.000 0.500 0.876 1
# V = 15.0 Å³ per atom
# D(E_F) = 19.62 states/eV/f.u.
# SG = No. 123
# E_form = -5.791 eV/f.u.

# CrGaPd6 | the Alexandria database | PBE | optimized geometry
data_CrGaPd6
_cell_length_a 7.018
_cell_length_b 6.921
_cell_length_c 5.244
_cell_angle_alpha 48.69
_cell_angle_beta 41.40
_cell_angle_gamma 59.61
_space_group_name_H-M_alt 'P 1'
_space_group_IT_number 1
_space_group_name_Hall 'P 1'
loop_
_atom_site_label
_atom_site_type_symbol
_atom_site_fract_x
_atom_site_fract_y
_atom_site_fract_z
_atom_site_occupancy
Cr1 Cr 0.500 0.500 0.500 1
Ga1 Ga 0.000 0.000 0.000 1
Pd1 Pd 0.013 0.530 0.708 1
Pd2 Pd 0.752 0.925 0.901 1
Pd3 Pd 0.484 0.249 0.231 1
Pd4 Pd 0.248 0.075 0.099 1
Pd5 Pd 0.987 0.470 0.292 1
Pd6 Pd 0.516 0.751 0.769 1
# V = 15.8 Å³ per atom
# D(E_F) = 6.92 states/eV/f.u.
# E above lowest polymorph = 0.145 eV/atom
# SG = No. 2
# E_form = -1.022 eV/f.u.

# CrGaPd6 | the Alexandria database | PBE | optimized geometry
data_CrGaPd6
_cell_length_a 3.919
_cell_length_b 3.919
_cell_length_c 7.805
_cell_angle_alpha 90.00
_cell_angle_beta 90.00
_cell_angle_gamma 90.00
_space_group_name_H-M_alt 'P 1'
_space_group_IT_number 1
_space_group_name_Hall 'P 1'
loop_
_atom_site_label
_atom_site_type_symbol
_atom_site_fract_x
_atom_site_fract_y
_atom_site_fract_z
_atom_site_occupancy
Cr1 Cr 0.000 0.000 0.500 1
Ga1 Ga 0.000 0.000 0.000 1
Pd1 Pd 0.500 0.500 0.000 1
Pd2 Pd 0.500 0.500 0.500 1
Pd3 Pd 0.500 0.000 0.251 1
Pd4 Pd 0.500 0.000 0.749 1
Pd5 Pd 0.000 0.500 0.251 1
Pd6 Pd 0.000 0.500 0.749 1
# V = 15.0 Å³ per atom
# D(E_F) = 10.02 states/eV/f.u.
# E above lowest polymorph = 0.000 eV/atom
# SG = No. 123
# E_form = -2.182 eV/f.u.

# Cr3GaPd | the Alexandria database | PBE | optimized geometry
data_Cr3GaPd
_cell_length_a 4.332
_cell_length_b 4.332
_cell_length_c 4.332
_cell_angle_alpha 90.00
_cell_angle_beta 90.00
_cell_angle_gamma 90.00
_space_group_name_H-M_alt 'P 1'
_space_group_IT_number 1
_space_group_name_Hall 'P 1'
loop_
_atom_site_label
_atom_site_type_symbol
_atom_site_fract_x
_atom_site_fract_y
_atom_site_fract_z
_atom_site_occupancy
Cr1 Cr 0.000 0.500 0.000 1
Cr2 Cr 0.000 0.000 0.500 1
Cr3 Cr 0.500 0.000 0.000 1
Ga1 Ga 0.000 0.000 0.000 1
Pd1 Pd 0.500 0.500 0.500 1
# V = 16.3 Å³ per atom
# D(E_F) = 9.76 states/eV/f.u.
# E above lowest polymorph = 0.306 eV/atom
# SG = No. 221
# E_form = 7.703 eV/f.u.

# CrGaPd3 | the Alexandria database | PBE | optimized geometry
data_CrGaPd3
_cell_length_a 4.594
_cell_length_b 4.594
_cell_length_c 4.594
_cell_angle_alpha 90.00
_cell_angle_beta 90.00
_cell_angle_gamma 90.00
_space_group_name_H-M_alt 'P 1'
_space_group_IT_number 1
_space_group_name_Hall 'P 1'
loop_
_atom_site_label
_atom_site_type_symbol
_atom_site_fract_x
_atom_site_fract_y
_atom_site_fract_z
_atom_site_occupancy
Cr1 Cr 0.000 0.000 0.000 1
Ga1 Ga 0.500 0.500 0.500 1
Pd1 Pd 0.000 0.500 0.000 1
Pd2 Pd 0.000 0.000 0.500 1
Pd3 Pd 0.500 0.000 0.000 1
# V = 19.4 Å³ per atom
# D(E_F) = 5.12 states/eV/f.u.
# E above lowest polymorph = 0.000 eV/atom
# SG = No. 221
# E_form = 3.965 eV/f.u.

# Cr3GaPd12 | the Alexandria database | PBE | optimized geometry
data_Cr3GaPd12
_cell_length_a 3.914
_cell_length_b 3.914
_cell_length_c 15.593
_cell_angle_alpha 90.00
_cell_angle_beta 90.00
_cell_angle_gamma 90.00
_space_group_name_H-M_alt 'P 1'
_space_group_IT_number 1
_space_group_name_Hall 'P 1'
loop_
_atom_site_label
_atom_site_type_symbol
_atom_site_fract_x
_atom_site_fract_y
_atom_site_fract_z
_atom_site_occupancy
Cr1 Cr 0.000 0.000 0.251 1
Cr2 Cr 0.000 0.000 0.500 1
Cr3 Cr 0.000 0.000 0.749 1
Ga1 Ga 0.000 0.000 0.000 1
Pd1 Pd 0.500 0.500 0.000 1
Pd2 Pd 0.500 0.500 0.250 1
Pd3 Pd 0.500 0.500 0.500 1
Pd4 Pd 0.500 0.500 0.750 1
Pd5 Pd 0.500 0.000 0.126 1
Pd6 Pd 0.500 0.000 0.375 1
Pd7 Pd 0.500 0.000 0.625 1
Pd8 Pd 0.500 0.000 0.874 1
Pd9 Pd 0.000 0.500 0.126 1
Pd10 Pd 0.000 0.500 0.375 1
Pd11 Pd 0.000 0.500 0.625 1
Pd12 Pd 0.000 0.500 0.874 1
# V = 14.9 Å³ per atom
# D(E_F) = 23.52 states/eV/f.u.
# SG = No. 123
# E_form = -2.758 eV/f.u.

# CrGa2Pd2 | the Alexandria database | PBE | optimized geometry
data_CrGa2Pd2
_cell_length_a 7.219
_cell_length_b 7.219
_cell_length_c 2.856
_cell_angle_alpha 90.00
_cell_angle_beta 90.00
_cell_angle_gamma 90.00
_space_group_name_H-M_alt 'P 1'
_space_group_IT_number 1
_space_group_name_Hall 'P 1'
loop_
_atom_site_label
_atom_site_type_symbol
_atom_site_fract_x
_atom_site_fract_y
_atom_site_fract_z
_atom_site_occupancy
Cr1 Cr 0.000 0.000 0.000 1
Cr2 Cr 0.500 0.500 0.000 1
Ga1 Ga 0.351 0.851 0.000 1
Ga2 Ga 0.851 0.649 0.000 1
Ga3 Ga 0.649 0.149 0.000 1
Ga4 Ga 0.149 0.351 0.000 1
Pd1 Pd 0.151 0.651 0.500 1
Pd2 Pd 0.651 0.849 0.500 1
Pd3 Pd 0.849 0.349 0.500 1
Pd4 Pd 0.349 0.151 0.500 1
# V = 14.9 Å³ per atom
# D(E_F) = 6.67 states/eV/f.u.
# E above lowest polymorph = 0.000 eV/atom
# SG = No. 127
# E_form = -0.488 eV/f.u.

# CrGaPd3 | the Alexandria database | PBE | optimized geometry
data_CrGaPd3
_cell_length_a 4.571
_cell_length_b 4.571
_cell_length_c 4.571
_cell_angle_alpha 90.00
_cell_angle_beta 90.00
_cell_angle_gamma 90.00
_space_group_name_H-M_alt 'P 1'
_space_group_IT_number 1
_space_group_name_Hall 'P 1'
loop_
_atom_site_label
_atom_site_type_symbol
_atom_site_fract_x
_atom_site_fract_y
_atom_site_fract_z
_atom_site_occupancy
Cr1 Cr 0.500 0.500 0.500 1
Ga1 Ga 0.000 0.000 0.000 1
Pd1 Pd 0.000 0.500 0.000 1
Pd2 Pd 0.000 0.000 0.500 1
Pd3 Pd 0.500 0.000 0.000 1
# V = 19.1 Å³ per atom
# D(E_F) = 10.41 states/eV/f.u.
# E above lowest polymorph = 0.051 eV/atom
# SG = No. 221
# E_form = 4.222 eV/f.u.

# CrGaTcPd2 | the Alexandria database | PBE | optimized geometry
data_CrGaTcPd2
_cell_length_a 4.514
_cell_length_b 4.495
_cell_length_c 4.514
_cell_angle_alpha 90.00
_cell_angle_beta 90.00
_cell_angle_gamma 90.00
_space_group_name_H-M_alt 'P 1'
_space_group_IT_number 1
_space_group_name_Hall 'P 1'
loop_
_atom_site_label
_atom_site_type_symbol
_atom_site_fract_x
_atom_site_fract_y
_atom_site_fract_z
_atom_site_occupancy
Cr1 Cr 0.000 0.500 0.000 1
Ga1 Ga 0.000 0.000 0.000 1
Tc1 Tc 0.500 0.500 0.500 1
Pd1 Pd 0.000 0.000 0.500 1
Pd2 Pd 0.500 0.000 0.000 1
# V = 18.3 Å³ per atom
# D(E_F) = 9.63 states/eV/f.u.
# SG = No. 123
# E_form = 6.099 eV/f.u.

# TiCrGaPd | the Alexandria database | PBE | optimized geometry
data_TiCrGaPd
_cell_length_a 4.337
_cell_length_b 4.337
_cell_length_c 4.337
_cell_angle_alpha 60.00
_cell_angle_beta 60.00
_cell_angle_gamma 60.00
_space_group_name_H-M_alt 'P 1'
_space_group_IT_number 1
_space_group_name_Hall 'P 1'
loop_
_atom_site_label
_atom_site_type_symbol
_atom_site_fract_x
_atom_site_fract_y
_atom_site_fract_z
_atom_site_occupancy
Cr1 Cr 0.000 0.000 0.000 1
Ga1 Ga 0.750 0.750 0.750 1
Pd1 Pd 0.500 0.500 0.500 1
Ti1 Ti 0.250 0.250 0.250 1
# V = 14.4 Å³ per atom
# D(E_F) = 6.12 states/eV/f.u.
# SG = No. 216
# E_form = -0.973 eV/f.u.

# ZrCr2GaPd | the Alexandria database | PBE | optimized geometry
data_ZrCr2GaPd
_cell_length_a 4.569
_cell_length_b 4.929
_cell_length_c 4.569
_cell_angle_alpha 90.00
_cell_angle_beta 90.00
_cell_angle_gamma 90.00
_space_group_name_H-M_alt 'P 1'
_space_group_IT_number 1
_space_group_name_Hall 'P 1'
loop_
_atom_site_label
_atom_site_type_symbol
_atom_site_fract_x
_atom_site_fract_y
_atom_site_fract_z
_atom_site_occupancy
Cr1 Cr 0.000 0.000 0.500 1
Cr2 Cr 0.500 0.000 0.000 1
Ga1 Ga 0.500 0.500 0.500 1
Zr1 Zr 0.000 0.000 0.000 1
Pd1 Pd 0.000 0.500 0.000 1
# V = 20.6 Å³ per atom
# D(E_F) = 11.12 states/eV/f.u.
# SG = No. 123
# E_form = 8.087 eV/f.u.

# PmCrGa | the Alexandria database | PBE | optimized geometry
data_PmCrGa
_cell_length_a 4.657
_cell_length_b 3.295
_cell_length_c 11.559
_cell_angle_alpha 90.00
_cell_angle_beta 90.00
_cell_angle_gamma 134.97
_space_group_name_H-M_alt 'P 1'
_space_group_IT_number 1
_space_group_name_Hall 'P 1'
loop_
_atom_site_label
_atom_site_type_symbol
_atom_site_fract_x
_atom_site_fract_y
_atom_site_fract_z
_atom_site_occupancy
Ga1 Ga 0.694 0.389 0.000 1
Ga2 Ga 0.194 0.389 0.500 1
Cr1 Cr 0.694 0.389 0.376 1
Cr2 Cr 0.694 0.389 0.624 1
Pm1 Pm 0.194 0.389 0.812 1
Pm2 Pm 0.194 0.389 0.188 1
# V = 20.9 Å³ per atom
# D(E_F) = 2.59 states/eV/f.u.
# SG = No. 123
# E_form = 0.267 eV/f.u.

Total magnetic moment for every record listed, in sequence, given in μB per cell: 1.9; 0.5; 0.0; 0.0; 0.0; 6.3; 0.0; 12.3; 2.5; 3.4; 2.5; 0.0; 0.0; 8.1; 0.0; 0.5; 3.8; 1.1; 0.0; 6.5.